VASP calculation (GGA-PBEsol) on a relaxed structure of MnCo.

```
MnCo
1.0
2.4355 0.0000 0.0000
0.0000 3.8603 0.0000
0.0000 0.0000 4.2528
Mn Co
2 2
direct
0.2500 0.2500 0.0883 Mn
0.7500 0.7500 0.9117 Mn
0.2500 0.7500 0.4209 Co
0.7500 0.2500 0.5791 Co
```

Values from the calculation:
Magnetic moment: 0.00 μB/f.u.
SG: No. 59
Energy relative to the elements: 0.0 eV/f.u.

***

VASP calculation (GGA-PBEsol) on a relaxed structure of TbHO2.

```
TbHO2
1.0
4.2874 0.0000 0.0000
0.0000 3.6273 0.0000
-1.9300 0.0000 5.6343
Tb H O
2 2 4
direct
0.1668 0.2500 0.3099 Tb
0.8332 0.7500 0.6901 Tb
0.4869 0.7500 0.0765 H
0.5131 0.2500 0.9235 H
0.2526 0.7500 0.0608 O
0.2656 0.7500 0.5497 O
0.7344 0.2500 0.4503 O
0.7474 0.2500 0.9392 O
```

Values from the calculation:
Magnetic moment: 0.00 μB/f.u.
E: -7.395 eV per atom
SG: No. 11

***

VASP calculation (GGA-PBEsol) on a relaxed structure of Mg2InSb.

```
Mg2InSb
1.0
1.7331 1.0006 9.0403
-1.7331 1.0006 9.0403
0.0000 -2.0012 9.0403
Mg In Sb
2 1 1
direct
0.2492 0.2492 0.2492 Mg
0.7508 0.7508 0.7508 Mg
0.5000 0.5000 0.5000 In
0.0000 0.0000 0.0000 Sb
```

Values from the calculation:
Magnetic moment: 0.00 μB/f.u.
SG: No. 166
Formation energy from raw total energies: -0.1261 eV/atom

***

VASP calculation (GGA-PBEsol) on a relaxed structure of BaGaTeCl2.

```
BaGaTeCl2
1.0
5.6613 0.0000 0.0000
0.0000 5.6613 0.0000
0.0000 0.0000 14.3069
Ba Ga Te Cl
1 1 1 2
direct
0.0000 0.0000 0.0000 Ba
0.0000 0.0000 0.5000 Ga
0.5000 0.5000 0.5000 Te
0.0000 0.5000 0.0000 Cl
0.5000 0.0000 0.0000 Cl
```

Values from the calculation:
Magnetic moment: 1.01 μB/f.u.
SG: No. 123
Formation energy from raw total energies: -0.6161 eV/atom

***

VASP calculation (GGA-PBEsol) on a relaxed structure of Tm5Ni2Bi.

```
Tm5Ni2Bi
1.0
-3.7220 3.7220 6.6189
3.7220 -3.7220 6.6189
3.7220 3.7220 -6.6189
Tm Ni Bi
10 4 2
direct
0.0000 0.0000 0.0000 Tm
0.0232 0.5232 0.8126 Tm
0.2105 0.0232 0.5000 Tm
0.2895 0.7895 0.8126 Tm
0.4768 0.2895 0.5000 Tm
0.5000 0.5000 0.0000 Tm
0.5232 0.7105 0.5000 Tm
0.7105 0.2105 0.1874 Tm
0.7895 0.9768 0.5000 Tm
0.9768 0.4768 0.1874 Tm
0.1316 0.3684 0.5000 Ni
0.3684 0.8684 0.2367 Ni
0.6316 0.1316 0.7633 Ni
0.8684 0.6316 0.5000 Ni
0.2500 0.2500 0.0000 Bi
0.7500 0.7500 0.0000 Bi
```

Values from the calculation:
Magnetic moment: 0.00 μB/f.u.
SG: No. 140
Energy relative to the elements: -3.9 eV/f.u.

***

VASP calculation (GGA-PBEsol) on a relaxed structure of CuSI.

```
CuSI
1.0
3.3890 -1.8648 0.0000
3.3890 1.8648 0.0000
-1.7213 0.0000 5.3602
Cu S I
1 1 1
direct
0.0000 0.0000 0.0000 Cu
0.3122 0.3122 0.9405 S
0.2959 0.2959 0.4482 I
```

Values from the calculation:
Magnetic moment: 0.00 μB/f.u.
SG: No. 8
Formation energy from raw total energies: -0.0209 eV/atom

***

> magnetic moment of number 6 (CuSI)?

0.00 μB/f.u.

***

> What is the magnetic moment in the fifth record?

0.00 μB/f.u.